No. 1
Here is an optimized crystal structure of Tm2Ga3SiPt4 from Alexandria via LeMat-Bulk. Energies are from PBE.

Output
- DOS(E_F): 2.8 states/eV/cell
- Uncorrected formation energy: -948 meV/atom
- Crystal system: tetragonal
- Total DFT energy (no corrections): -5.709 eV/atom

abc: 4.1116 4.1116 10.6971
angles: 90.00 90.00 90.00
Space group P-4m2 (No. 115)
Inequivalent atoms, fractional coordinates:
Tm: 0.0000 0.5000 0.2423 (multiplicity 2)
Ga: 0.0000 0.0000 0.0000 (multiplicity 1)
Ga: 0.0000 0.5000 0.6385 (multiplicity 2)
Si: 0.5000 0.5000 0.0000 (multiplicity 1)
Pt: 0.0000 0.0000 0.5000 (multiplicity 1)
Pt: 0.0000 0.5000 0.8680 (multiplicity 2)
Pt: 0.5000 0.5000 0.5000 (multiplicity 1)

No. 2
Here is an optimized crystal structure of La6SiPt2Cl3 from Alexandria via LeMat-Bulk. Energies are from PBE.

Output
- DOS(E_F): 22.0 states/eV/cell
- Uncorrected formation energy: -1340 meV/atom
- Crystal system: monoclinic
- Total DFT energy (no corrections): -5.724 eV/atom

abc: 7.4851 12.8994 7.5023
angles: 90.00 109.56 90.00
Space group C2/m (No. 12)
Inequivalent atoms, fractional coordinates:
La: 0.2362 0.0000 0.2254 (multiplicity 4)
La: 0.2466 0.3309 0.2311 (multiplicity 8)
Si: 0.0000 0.5000 0.0000 (multiplicity 2)
Pt: 0.0000 0.1681 0.0000 (multiplicity 4)
Cl: 0.0000 0.0000 0.5000 (multiplicity 2)
Cl: 0.0000 0.3429 0.5000 (multiplicity 4)

No. 3
Here is an optimized crystal structure of MgMn2H2 from Alexandria via LeMat-Bulk. Energies are from PBE.

Output
- DOS(E_F): 2.9 states/eV/cell
- Crystal system: tetragonal
- Total DFT energy (no corrections): -5.161 eV/atom

abc: 3.0605 3.0605 9.4982
angles: 90.00 90.00 90.00
Space group I4/mmm (No. 139)
Inequivalent atoms, fractional coordinates:
Mg: 0.0000 0.0000 0.0000 (multiplicity 2)
Mn: 0.0000 0.0000 0.3276 (multiplicity 4)
H: 0.0000 0.5000 0.2500 (multiplicity 4)

No. 4
Here is an optimized crystal structure of ScCd2Ni2 from Alexandria via LeMat-Bulk. Energies are from PBE.

Output
- DOS(E_F): 7.8 states/eV/cell
- DFT formation energy: -0.037 eV per atom
- Crystal system: tetragonal
- Total DFT energy (no corrections): -3.982 eV/atom

abc: 3.9238 3.9238 11.7842
angles: 90.00 90.00 90.00
Space group I4/mmm (No. 139)
Inequivalent atoms, fractional coordinates:
Sc: 0.0000 0.0000 0.0000 (multiplicity 2)
Cd: 0.0000 0.5000 0.2500 (multiplicity 4)
Ni: 0.0000 0.0000 0.4061 (multiplicity 4)

No. 5
Here is an optimized crystal structure of CaScPb2I from Alexandria via LeMat-Bulk. Energies are from PBE.

Output
- DOS(E_F): 5.7 states/eV/cell
- Uncorrected formation energy: 503 meV/atom
- Crystal system: tetragonal
- Total DFT energy (no corrections): -2.957 eV/atom

abc: 6.6542 6.6542 5.8685
angles: 90.00 90.00 90.00
Space group P4/mmm (No. 123)
Inequivalent atoms, fractional coordinates:
Ca: 0.0000 0.0000 0.0000 (multiplicity 1)
Sc: 0.5000 0.5000 0.0000 (multiplicity 1)
Pb: 0.0000 0.5000 0.5000 (multiplicity 2)
I: 0.5000 0.5000 0.5000 (multiplicity 1)

No. 6
Here is an optimized crystal structure of Ba2CdGaSe5 from Alexandria via LeMat-Bulk. Energies are from PBE.

Output
- DOS(E_F): 20.8 states/eV/cell
- Uncorrected formation energy: -1137 meV/atom
- Crystal system: orthorhombic
- Total DFT energy (no corrections): -3.938 eV/atom

abc: 4.2490 20.5109 12.5002
angles: 90.00 90.00 90.00
Space group Cmc2_1 (No. 36)
Inequivalent atoms, fractional coordinates:
Ba: 0.0000 0.1085 0.0000 (multiplicity 4)
Ba: 0.0000 0.1228 0.3824 (multiplicity 4)
Cd: 0.0000 0.2292 0.7273 (multiplicity 4)
Ga: 0.0000 0.4394 0.1504 (multiplicity 4)
Se: 0.0000 0.0319 0.7493 (multiplicity 4)
Se: 0.0000 0.2896 0.3722 (multiplicity 4)
Se: 0.0000 0.3224 0.1037 (multiplicity 4)
Se: 0.0000 0.3562 0.6906 (multiplicity 4)
Se: 0.0000 0.4871 0.9740 (multiplicity 4)